The following is a PBE calculation of an optimized crystal structure of LaCeTcAg, from the Alexandria database.

The calculated formation energy is 26 meV/atom.

It has space group F-43m (No. 216), with a = 7.2499 Å, b = 7.2499 Å, c = 7.2499 Å, α = 90.00°, β = 90.00° and γ = 90.00°. Symmetry generates all atoms from La at (0.0000, 0.0000, 0.0000), Ce at (0.0000, 0.0000, 0.5000), Tc at (0.2500, 0.2500, 0.2500) and Ag at (0.2500, 0.2500, 0.7500).

The following is a PBE calculation of an optimized crystal structure of MoPt3W, from the Alexandria database.

The value obtained for the distance to the lowest polymorph of the same formula is 163.71 kJ/mol of atoms. The calculated formation energy is 1432 meV/atom.

It has space group Pm-3m (No. 221), with a = 4.8175 Å, b = 4.8175 Å, c = 4.8175 Å, α = 90.00°, β = 90.00° and γ = 90.00°. Symmetry generates all atoms from Mo at (0.0000, 0.0000, 0.0000), Pt at (0.0000, 0.5000, 0.5000) and W at (0.5000, 0.5000, 0.5000).

The following is a PBE calculation of an optimized crystal structure of RbB3Rh, from the Alexandria database.

The value obtained for the distance to the lowest polymorph of the same formula is 0.00 kJ/mol of atoms. The calculated formation energy is 941 meV/atom.

It has space group Pm-3m (No. 221), with a = 4.2138 Å, b = 4.2138 Å, c = 4.2138 Å, α = 90.00°, β = 90.00° and γ = 90.00°. Symmetry generates all atoms from Rb at (0.0000, 0.0000, 0.0000), B at (0.0000, 0.5000, 0.5000) and Rh at (0.5000, 0.5000, 0.5000).

The following is a PBE calculation of an optimized crystal structure of HfMg3In4, from the Alexandria database.

The calculated formation energy is -65 meV/atom.

It has space group C2/m (No. 12), with a = 6.5197 Å, b = 6.5197 Å, c = 9.0663 Å, α = 90.00°, β = 110.07° and γ = 90.00°. Symmetry generates all atoms from Hf at (0.0000, 0.0000, 0.0000), Mg at (0.0000, 0.5000, 0.0000), Mg at (0.2470, 0.0000, 0.4950) and In at (0.1296, 0.2493, 0.7533).

The following is a PBE calculation of an optimized crystal structure of Zr2Ni2Mo, from the Alexandria database.

The value obtained for the distance to the lowest polymorph of the same formula is 14.09 kJ/mol of atoms. The calculated formation energy is 8 meV/atom.

It has space group P4/mbm (No. 127), with a = 7.3941 Å, b = 7.3941 Å, c = 3.0854 Å, α = 90.00°, β = 90.00° and γ = 90.00°. Symmetry generates all atoms from Zr at (0.1633, 0.3367, 0.0000), Ni at (0.1317, 0.6317, 0.5000) and Mo at (0.0000, 0.0000, 0.0000).

The following is a PBE calculation of an optimized crystal structure of CrWCl2, from the Alexandria database.

The value obtained for the distance to the lowest polymorph of the same formula is 33.13 kJ/mol of atoms. For the formation energy (no corrections), the calculation gives 0.181 eV/atom.

It has space group Immm (No. 71), with a = 3.0637 Å, b = 4.2806 Å, c = 14.2088 Å, α = 90.00°, β = 90.00° and γ = 90.00°. Symmetry generates all atoms from Cr at (0.0000, 0.0000, 0.0000), W at (0.0000, 0.0000, 0.5000) and Cl at (0.0000, 0.5000, 0.1391).